Density functional theory data (PBE-GGA) for a relaxed Sm4ZnNi crystal.

Computed properties:
electronic total energy	-4.552	eV/atom
E_form	-230	meV per atom
DOS at the Fermi energy	19.1	states/eV per cell
M_tot	0.0	μB per cell
symmetry	F-43m

Cell and atoms, written as CIF:
```
data_Sm4ZnNi
_cell_length_a 9.601
_cell_length_b 9.601
_cell_length_c 9.601
_cell_angle_alpha 60.00
_cell_angle_beta 60.00
_cell_angle_gamma 60.00
_space_group_name_H-M_alt 'P 1'
_space_group_IT_number 1
_space_group_name_Hall 'P 1'
loop_
_atom_site_label
_atom_site_type_symbol
_atom_site_fract_x
_atom_site_fract_y
_atom_site_fract_z
_atom_site_occupancy
Sm1 Sm 0.814 0.186 0.814 1
Sm2 Sm 0.943 0.943 0.557 1
Sm3 Sm 0.814 0.186 0.186 1
Sm4 Sm 0.186 0.814 0.814 1
Sm5 Sm 0.557 0.943 0.943 1
Sm6 Sm 0.186 0.186 0.814 1
Sm7 Sm 0.557 0.943 0.557 1
Sm8 Sm 0.814 0.814 0.186 1
Sm9 Sm 0.399 0.399 0.399 1
Sm10 Sm 0.399 0.804 0.399 1
Sm11 Sm 0.804 0.399 0.399 1
Sm12 Sm 0.399 0.399 0.804 1
Sm13 Sm 0.186 0.814 0.186 1
Sm14 Sm 0.557 0.557 0.943 1
Sm15 Sm 0.943 0.557 0.943 1
Sm16 Sm 0.943 0.557 0.557 1
Zn1 Zn 0.485 0.172 0.172 1
Zn2 Zn 0.172 0.172 0.485 1
Zn3 Zn 0.172 0.172 0.172 1
Zn4 Zn 0.172 0.485 0.172 1
Ni1 Ni 0.607 0.607 0.179 1
Ni2 Ni 0.179 0.607 0.607 1
Ni3 Ni 0.607 0.179 0.607 1
Ni4 Ni 0.607 0.607 0.607 1
```



Density functional theory data (PBE-GGA) for a relaxed ErZnAgHg crystal.

Computed properties:
electronic total energy	-2.525	eV/atom
E_form	-278	meV per atom
DOS at the Fermi energy	1.5	states/eV per cell
M_tot	0.0	μB per cell
symmetry	F-43m

Cell and atoms, written as CIF:
```
data_ErZnAgHg
_cell_length_a 4.869
_cell_length_b 4.869
_cell_length_c 4.869
_cell_angle_alpha 60.00
_cell_angle_beta 60.00
_cell_angle_gamma 60.00
_space_group_name_H-M_alt 'P 1'
_space_group_IT_number 1
_space_group_name_Hall 'P 1'
loop_
_atom_site_label
_atom_site_type_symbol
_atom_site_fract_x
_atom_site_fract_y
_atom_site_fract_z
_atom_site_occupancy
Er1 Er 0.000 0.000 0.000 1
Zn1 Zn 0.500 0.500 0.500 1
Ag1 Ag 0.250 0.250 0.250 1
Hg1 Hg 0.750 0.750 0.750 1
```



Density functional theory data (PBE-GGA) for a relaxed TiAl2Ag crystal.

Computed properties:
electronic total energy	-4.843	eV/atom
E_form	-285	meV per atom
DOS at the Fermi energy	2.1	states/eV per cell
M_tot	0.0	μB per cell
symmetry	P4/mmm

Cell and atoms, written as CIF:
```
data_TiAl2Ag
_cell_length_a 3.860
_cell_length_b 4.105
_cell_length_c 4.105
_cell_angle_alpha 90.00
_cell_angle_beta 90.00
_cell_angle_gamma 90.00
_space_group_name_H-M_alt 'P 1'
_space_group_IT_number 1
_space_group_name_Hall 'P 1'
loop_
_atom_site_label
_atom_site_type_symbol
_atom_site_fract_x
_atom_site_fract_y
_atom_site_fract_z
_atom_site_occupancy
Ti1 Ti 0.500 0.500 0.500 1
Al1 Al 0.000 0.500 0.000 1
Al2 Al 0.000 0.000 0.500 1
Ag1 Ag 0.500 0.000 0.000 1
```



Density functional theory data (PBE-GGA) for a relaxed Zr2AlOs crystal.

Computed properties:
electronic total energy	-8.297	eV/atom
E_form	-279	meV per atom
DOS at the Fermi energy	8.2	states/eV per cell
M_tot	0.0	μB per cell
symmetry	P1

Cell and atoms, written as CIF:
```
data_Zr2AlOs
_cell_length_a 5.313
_cell_length_b 5.376
_cell_length_c 5.372
_cell_angle_alpha 78.59
_cell_angle_beta 90.05
_cell_angle_gamma 90.24
_space_group_name_H-M_alt 'P 1'
_space_group_IT_number 1
_space_group_name_Hall 'P 1'
loop_
_atom_site_label
_atom_site_type_symbol
_atom_site_fract_x
_atom_site_fract_y
_atom_site_fract_z
_atom_site_occupancy
Zr1 Zr 0.875 0.517 0.985 1
Zr2 Zr 0.625 0.100 0.605 1
Zr3 Zr 0.375 0.512 0.986 1
Zr4 Zr 0.124 0.895 0.401 1
Os1 Os 0.625 0.607 0.494 1
Os2 Os 0.125 0.005 0.892 1
Al1 Al 0.624 0.978 0.114 1
Al2 Al 0.126 0.386 0.522 1
```



Copy entry 1 word for word.
Density functional theory data (PBE-GGA) for a relaxed Sm4ZnNi crystal.

Computed properties:
electronic total energy	-4.552	eV/atom
E_form	-230	meV per atom
DOS at the Fermi energy	19.1	states/eV per cell
M_tot	0.0	μB per cell
symmetry	F-43m

Cell and atoms, written as CIF:
```
data_Sm4ZnNi
_cell_length_a 9.601
_cell_length_b 9.601
_cell_length_c 9.601
_cell_angle_alpha 60.00
_cell_angle_beta 60.00
_cell_angle_gamma 60.00
_space_group_name_H-M_alt 'P 1'
_space_group_IT_number 1
_space_group_name_Hall 'P 1'
loop_
_atom_site_label
_atom_site_type_symbol
_atom_site_fract_x
_atom_site_fract_y
_atom_site_fract_z
_atom_site_occupancy
Sm1 Sm 0.814 0.186 0.814 1
Sm2 Sm 0.943 0.943 0.557 1
Sm3 Sm 0.814 0.186 0.186 1
Sm4 Sm 0.186 0.814 0.814 1
Sm5 Sm 0.557 0.943 0.943 1
Sm6 Sm 0.186 0.186 0.814 1
Sm7 Sm 0.557 0.943 0.557 1
Sm8 Sm 0.814 0.814 0.186 1
Sm9 Sm 0.399 0.399 0.399 1
Sm10 Sm 0.399 0.804 0.399 1
Sm11 Sm 0.804 0.399 0.399 1
Sm12 Sm 0.399 0.399 0.804 1
Sm13 Sm 0.186 0.814 0.186 1
Sm14 Sm 0.557 0.557 0.943 1
Sm15 Sm 0.943 0.557 0.943 1
Sm16 Sm 0.943 0.557 0.557 1
Zn1 Zn 0.485 0.172 0.172 1
Zn2 Zn 0.172 0.172 0.485 1
Zn3 Zn 0.172 0.172 0.172 1
Zn4 Zn 0.172 0.485 0.172 1
Ni1 Ni 0.607 0.607 0.179 1
Ni2 Ni 0.179 0.607 0.607 1
Ni3 Ni 0.607 0.179 0.607 1
Ni4 Ni 0.607 0.607 0.607 1
```